Run one
First-principles (PBE) data for a geometry-optimized HfMgSb structure, as listed in Alexandria via LeMat-Bulk.

**Spin magnetization**: 0.00 μB/cell

Cell: 4.328 4.328 7.396 Å, 90.00 90.00 90.00°
Space group P4/nmm (No. 129, origin choice 2)
Unique sites:
Hf (0.250, 0.750, 0.000) (multiplicity 2)
Mg (0.250, 0.250, 0.319) (multiplicity 2)
Sb (0.250, 0.250, 0.711) (multiplicity 2)

---

Run two
First-principles (PBE) data for a geometry-optimized HfMgSb structure, as listed in Alexandria via LeMat-Bulk.

**Spin magnetization**: 0.00 μB/cell

Cell: 4.9808 4.9808 3.1505 Å, 90.00 90.00 120.00°
Space group P3m1 (No. 156)
Unique sites:
Hf (0.0000, 0.0000, 0.0000) (multiplicity 1)
Mg (0.3333, 0.6667, 0.5296) (multiplicity 1)
Sb (0.6667, 0.3333, 0.3022) (multiplicity 1)

---

Least stable: run two

---

Run one
First-principles (PBE) data for a geometry-optimized Hf3MgSc structure, as listed in Alexandria via LeMat-Bulk.

**Spin magnetization**: 0.00 μB/cell

Cell: 5.055 5.055 5.055 Å, 90.00 90.00 90.00°
Space group Pm-3m (No. 221)
Unique sites:
Hf (0.000, 0.000, 0.500) (multiplicity 3)
Mg (0.000, 0.000, 0.000) (multiplicity 1)
Sc (0.500, 0.500, 0.500) (multiplicity 1)

---

Run two
First-principles (PBE) data for a geometry-optimized Hf3MgSc structure, as listed in Alexandria via LeMat-Bulk.

**Spin magnetization**: 0.00 μB/cell

Cell: 13.797 11.631 5.800 Å, 90.00 104.33 90.00°
Space group C2/c (No. 15)
Unique sites:
Hf (0.100, 0.188, 0.460) (multiplicity 8)
Hf (0.194, 0.313, 0.145) (multiplicity 8)
Hf (0.205, 0.422, 0.647) (multiplicity 8)
Mg (0.000, 0.331, 0.750) (multiplicity 4)
Mg (0.000, 0.422, 0.250) (multiplicity 4)
Sc (0.101, 0.075, 0.965) (multiplicity 8)

---

Least stable: run one